# 1
A plane-wave DFT calculation with PBE was carried out for crystalline Mg2CoW at its relaxed geometry.

Cell lengths 4.8887, 4.8887, 2.7311 Å; angles 90.00, 90.00, 90.00 degrees
Closest atoms and distances in Å follow each position.
Space group P4/mmm (No. 123)
One atom of each set of equivalent atoms:
Mg (0.0000, 0.5000, 0.0000) (multiplicity 2)  2 Mg 2.73, 4 W 2.80, 4 Co 2.80
Co (0.0000, 0.0000, 0.5000) (multiplicity 1)  2 Co 2.73, 8 Mg 2.80
W (0.5000, 0.5000, 0.5000) (multiplicity 1)  2 W 2.73, 8 Mg 2.80

Properties
- VASP energy: -20.5 eV per cell
- Spin magnetization: 0.355 μB per atom
- Distance to the lowest polymorph of the same formula: 529 meV per atom



# 2
A plane-wave DFT calculation with PBE was carried out for crystalline Tl2SbP at its relaxed geometry.

Cell lengths 3.7453, 5.0532, 12.6464 Å; angles 90.00, 90.00, 90.00 degrees
Closest atoms and distances in Å follow each position.
Space group Amm2 (No. 38)
One atom of each set of equivalent atoms:
Tl (0.0000, 0.0000, 0.0000) (multiplicity 2)  1 P 3.25, 4 Sb 3.40
Tl (0.5000, 0.0000, 0.3136) (multiplicity 2)  4 P 3.27, 1 Sb 3.64
Sb (0.5000, 0.0000, 0.6013) (multiplicity 2)  2 P 2.60
P (0.0000, 0.0000, 0.7434) (multiplicity 2)  2 Sb 2.60

Properties
- VASP energy: -27.8 eV per cell
- Formation energy (no corrections): 0.0900 eV per atom
- Spin magnetization: 0.000 μB per atom
- Distance to the lowest polymorph of the same formula: 12 meV per atom



# 3
A plane-wave DFT calculation with PBE was carried out for crystalline Tb2ScPb2O2 at its relaxed geometry.

Cell lengths 4.1533, 4.1533, 16.4282 Å; angles 90.00, 90.00, 90.00 degrees
Closest atoms and distances in Å follow each position.
Space group I4/mmm (No. 139)
One atom of each set of equivalent atoms:
Tb (0.0000, 0.0000, 0.1013) (multiplicity 4)  4 O 2.66
Sc (0.0000, 0.0000, 0.5000) (multiplicity 2)  4 O 2.08
Pb (0.0000, 0.0000, 0.3022) (multiplicity 4)  1 Sc 3.25, 5 Tb 3.30-3.34, 4 Pb 3.40
O (0.0000, 0.5000, 0.0000) (multiplicity 4)  2 Sc 2.08

Properties
- VASP energy: -89.5 eV per cell
- Formation energy (no corrections): -1.6915 eV per atom
- Spin magnetization: 0.000 μB per atom